[1]
# NaP PBE-GGA relaxed
# energy relative to the lowest polymorph listed for this composition	0.239	eV per atom
# E_form	-0.144	eV per atom
data_NaP
_chemical_formula_sum 'Na6 P6'
_space_group_name_H-M_alt 'P 63/m'
_space_group_IT_number 176
_space_group_name_Hall '-P 6c'
_cell_length_a 10.3809
_cell_length_b 10.3809
_cell_length_c 4.0555
_cell_angle_alpha 90.00
_cell_angle_beta 90.00
_cell_angle_gamma 120.00
loop_
_atom_site_label
_atom_site_type_symbol
_atom_site_fract_x
_atom_site_fract_y
_atom_site_fract_z
Na1 Na 0.2145 0.4362 0.2500
P1 P 0.0465 0.4953 0.7500

[2]
# Na3P PBE-GGA relaxed
# E_form	-0.197	eV per atom
data_Na3P
_chemical_formula_sum 'Na6 P2'
_space_group_name_H-M_alt 'P 63/m m c'
_space_group_IT_number 194
_space_group_name_Hall '-P 6c 2c'
_cell_length_a 6.5123
_cell_length_b 6.5123
_cell_length_c 5.0424
_cell_angle_alpha 90.00
_cell_angle_beta 90.00
_cell_angle_gamma 120.00
loop_
_atom_site_label
_atom_site_type_symbol
_atom_site_fract_x
_atom_site_fract_y
_atom_site_fract_z
Na1 Na 0.1859 0.3718 0.2500
P1 P 0.3333 0.6667 0.7500

[3]
# NaP PBE-GGA relaxed
# energy relative to the lowest polymorph listed for this composition	0.094	eV per atom
# E_form	-0.289	eV per atom
data_NaP
_chemical_formula_sum 'Na4 P4'
_space_group_name_H-M_alt 'I m m 2'
_space_group_IT_number 44
_space_group_name_Hall 'I 2 -2'
_cell_length_a 3.3682
_cell_length_b 8.9396
_cell_length_c 5.7022
_cell_angle_alpha 90.00
_cell_angle_beta 90.00
_cell_angle_gamma 90.00
loop_
_atom_site_label
_atom_site_type_symbol
_atom_site_fract_x
_atom_site_fract_y
_atom_site_fract_z
Na1 Na 0.0000 0.2024 0.0000
P1 P 0.0000 0.0000 0.5644
P2 P 0.0000 0.5000 0.8014

[4]
# NaP PBE-GGA relaxed
# energy relative to the lowest polymorph listed for this composition	1.005	eV per atom
# E_form	0.622	eV per atom
data_NaP
_chemical_formula_sum 'Na4 P4'
_space_group_name_H-M_alt 'F m -3 m'
_space_group_IT_number 225
_space_group_name_Hall '-F 4 2 3'
_cell_length_a 5.8381
_cell_length_b 5.8381
_cell_length_c 5.8381
_cell_angle_alpha 90.00
_cell_angle_beta 90.00
_cell_angle_gamma 90.00
loop_
_atom_site_label
_atom_site_type_symbol
_atom_site_fract_x
_atom_site_fract_y
_atom_site_fract_z
Na1 Na 0.0000 0.0000 0.0000
P1 P 0.0000 0.0000 0.5000

[5]
# NaPaP2 PBE-GGA relaxed
# energy relative to the lowest polymorph listed for this composition	0.041	eV per atom
# E_form	-0.811	eV per atom
data_NaPaP2
_chemical_formula_sum 'Na3 Pa3 P6'
_space_group_name_H-M_alt 'R 3 m'
_space_group_IT_number 160
_space_group_name_Hall 'R 3 -2"'
_cell_length_a 4.1063
_cell_length_b 4.1063
_cell_length_c 20.6119
_cell_angle_alpha 90.00
_cell_angle_beta 90.00
_cell_angle_gamma 120.00
loop_
_atom_site_label
_atom_site_type_symbol
_atom_site_fract_x
_atom_site_fract_y
_atom_site_fract_z
Na1 Na 0.0000 0.0000 0.0000
Pa1 Pa 0.0000 0.0000 0.1741
P1 P 0.0000 0.0000 0.5756
P2 P 0.0000 0.0000 0.7720

[6]
# NaPaP2 PBE-GGA relaxed
# energy relative to the lowest polymorph listed for this composition	0.198	eV per atom
# E_form	-0.655	eV per atom
data_NaPaP2
_chemical_formula_sum 'Na2 Pa2 P4'
_space_group_name_H-M_alt 'C 1 2/m 1'
_space_group_IT_number 12
_space_group_name_Hall '-C 2y'
_cell_length_a 5.2322
_cell_length_b 5.2002
_cell_length_c 7.0601
_cell_angle_alpha 90.00
_cell_angle_beta 100.64
_cell_angle_gamma 90.00
loop_
_atom_site_label
_atom_site_type_symbol
_atom_site_fract_x
_atom_site_fract_y
_atom_site_fract_z
Na1 Na 0.0000 0.0000 0.0000
Pa1 Pa 0.0000 0.0000 0.5000
P1 P 0.0374 0.5000 0.6686

[7]
# NaPaP2 PBE-GGA relaxed
# energy relative to the lowest polymorph listed for this composition	0.000	eV per atom
# E_form	-0.852	eV per atom
data_NaPaP2
_chemical_formula_sum 'Na3 Pa3 P6'
_space_group_name_H-M_alt 'R -3 m'
_space_group_IT_number 166
_space_group_name_Hall '-R 3 2"'
_cell_length_a 4.1413
_cell_length_b 4.1413
_cell_length_c 19.7306
_cell_angle_alpha 90.00
_cell_angle_beta 90.00
_cell_angle_gamma 120.00
loop_
_atom_site_label
_atom_site_type_symbol
_atom_site_fract_x
_atom_site_fract_y
_atom_site_fract_z
Na1 Na 0.0000 0.0000 0.0000
Pa1 Pa 0.0000 0.0000 0.5000
P1 P 0.0000 0.0000 0.2361

[8]
# Na2PaP2Pd PBE-GGA relaxed
# E_form	-0.671	eV per atom
data_Na2PaP2Pd
_chemical_formula_sum 'Na4 Pa2 P4 Pd2'
_space_group_name_H-M_alt 'P m c 21'
_space_group_IT_number 26
_space_group_name_Hall 'P 2c -2'
_cell_length_a 4.2810
_cell_length_b 8.2320
_cell_length_c 6.8273
_cell_angle_alpha 90.00
_cell_angle_beta 90.00
_cell_angle_gamma 90.00
loop_
_atom_site_label
_atom_site_type_symbol
_atom_site_fract_x
_atom_site_fract_y
_atom_site_fract_z
Na1 Na 0.0000 0.0879 0.0000
Na2 Na 0.5000 0.1440 0.3354
Pa1 Pa 0.5000 0.4667 0.9727
P1 P 0.0000 0.3908 0.2459
P2 P 0.5000 0.1949 0.7463
Pd1 Pd 0.0000 0.3107 0.6190

[9]
# NaPaP2S8 PBE-GGA relaxed
# energy relative to the elements, uncorrected	-0.62	eV per atom
data_NaPaP2S8
_chemical_formula_sum 'Na3 Pa3 P6 S24'
_space_group_name_H-M_alt 'R -3'
_space_group_IT_number 148
_space_group_name_Hall '-R 3'
_cell_length_a 6.1394
_cell_length_b 6.1394
_cell_length_c 27.8110
_cell_angle_alpha 90.00
_cell_angle_beta 90.00
_cell_angle_gamma 120.00
loop_
_atom_site_label
_atom_site_type_symbol
_atom_site_fract_x
_atom_site_fract_y
_atom_site_fract_z
Na1 Na 0.0000 0.0000 0.0000
Pa1 Pa 0.0000 0.0000 0.5000
P1 P 0.0000 0.0000 0.2494
S1 S 0.0000 0.0000 0.3198
S2 S 0.0058 0.6508 0.4436

[10]
# NaPaPS PBE-GGA relaxed
# energy relative to the elements, uncorrected	-1.14	eV per atom
data_NaPaPS
_chemical_formula_sum 'Na3 Pa3 P3 S3'
_space_group_name_H-M_alt 'R 3 m'
_space_group_IT_number 160
_space_group_name_Hall 'R 3 -2"'
_cell_length_a 4.0514
_cell_length_b 4.0514
_cell_length_c 20.2835
_cell_angle_alpha 90.00
_cell_angle_beta 90.00
_cell_angle_gamma 120.00
loop_
_atom_site_label
_atom_site_type_symbol
_atom_site_fract_x
_atom_site_fract_y
_atom_site_fract_z
Na1 Na 0.0000 0.0000 0.0000
Pa1 Pa 0.0000 0.0000 0.5053
P1 P 0.0000 0.0000 0.2428
S1 S 0.0000 0.0000 0.7618

[11]
# NaSm2PaP4 PBE-GGA relaxed
# E_form	-1.125	eV per atom
data_NaSm2PaP4
_chemical_formula_sum 'Na1 Sm2 Pa1 P4'
_space_group_name_H-M_alt 'P 1 2/m 1'
_space_group_IT_number 10
_space_group_name_Hall '-P 2y'
_cell_length_a 6.9988
_cell_length_b 4.1125
_cell_length_c 7.0392
_cell_angle_alpha 90.00
_cell_angle_beta 108.58
_cell_angle_gamma 90.00
loop_
_atom_site_label
_atom_site_type_symbol
_atom_site_fract_x
_atom_site_fract_y
_atom_site_fract_z
Na1 Na 0.0000 0.0000 0.0000
Sm1 Sm 0.0000 0.5000 0.5000
Sm2 Sm 0.5000 0.0000 0.5000
Pa1 Pa 0.5000 0.5000 0.0000
P1 P 0.2616 0.0000 0.7596
P2 P 0.2705 0.5000 0.2468

[12]
# NaTb2PaP4 PBE-GGA relaxed
# E_form	-1.149	eV per atom
data_NaTb2PaP4
_chemical_formula_sum 'Na1 Tb2 Pa1 P4'
_space_group_name_H-M_alt 'P 1 2/m 1'
_space_group_IT_number 10
_space_group_name_Hall '-P 2y'
_cell_length_a 6.9084
_cell_length_b 4.0680
_cell_length_c 6.9760
_cell_angle_alpha 90.00
_cell_angle_beta 108.47
_cell_angle_gamma 90.00
loop_
_atom_site_label
_atom_site_type_symbol
_atom_site_fract_x
_atom_site_fract_y
_atom_site_fract_z
Na1 Na 0.0000 0.0000 0.0000
Tb1 Tb 0.0000 0.5000 0.5000
Tb2 Tb 0.5000 0.0000 0.5000
Pa1 Pa 0.5000 0.5000 0.0000
P1 P 0.2586 0.0000 0.7547
P2 P 0.2702 0.5000 0.2514

[13]
# Na2P2Pb PBE-GGA relaxed
# energy relative to the lowest polymorph listed for this composition	0.000	eV per atom
# E_form	-0.103	eV per atom
data_Na2P2Pb
_chemical_formula_sum 'Na4 P4 Pb2'
_space_group_name_H-M_alt 'I 4/m m m'
_space_group_IT_number 139
_space_group_name_Hall '-I 4 2'
_cell_length_a 4.4597
_cell_length_b 4.4597
_cell_length_c 11.6027
_cell_angle_alpha 90.00
_cell_angle_beta 90.00
_cell_angle_gamma 90.00
loop_
_atom_site_label
_atom_site_type_symbol
_atom_site_fract_x
_atom_site_fract_y
_atom_site_fract_z
Na1 Na 0.0000 0.5000 0.2500
P1 P 0.0000 0.0000 0.0942
Pb1 Pb 0.0000 0.0000 0.5000

[14]
# NaPPb PBE-GGA relaxed
# E_form	-0.103	eV per atom
data_NaPPb
_chemical_formula_sum 'Na4 P4 Pb4'
_space_group_name_H-M_alt 'F -4 3 m'
_space_group_IT_number 216
_space_group_name_Hall 'F -4 2 3'
_cell_length_a 6.9419
_cell_length_b 6.9419
_cell_length_c 6.9419
_cell_angle_alpha 90.00
_cell_angle_beta 90.00
_cell_angle_gamma 90.00
loop_
_atom_site_label
_atom_site_type_symbol
_atom_site_fract_x
_atom_site_fract_y
_atom_site_fract_z
Na1 Na 0.0000 0.0000 0.0000
P1 P 0.2500 0.2500 0.2500
Pb1 Pb 0.0000 0.0000 0.5000

[15]
# Na3PPb PBE-GGA relaxed
# energy relative to the lowest polymorph listed for this composition	0.000	eV per atom
# E_form	0.079	eV per atom
data_Na3PPb
_chemical_formula_sum 'Na3 P1 Pb1'
_space_group_name_H-M_alt 'P m -3 m'
_space_group_IT_number 221
_space_group_name_Hall '-P 4 2 3'
_cell_length_a 5.3837
_cell_length_b 5.3837
_cell_length_c 5.3837
_cell_angle_alpha 90.00
_cell_angle_beta 90.00
_cell_angle_gamma 90.00
loop_
_atom_site_label
_atom_site_type_symbol
_atom_site_fract_x
_atom_site_fract_y
_atom_site_fract_z
Na1 Na 0.0000 0.0000 0.5000
P1 P 0.0000 0.0000 0.0000
Pb1 Pb 0.5000 0.5000 0.5000

[16]
# NaPPb PBE-GGA relaxed
# E_form	0.046	eV per atom
data_NaPPb
_chemical_formula_sum 'Na8 P8 Pb8'
_space_group_name_H-M_alt 'C m c e'
_space_group_IT_number 64
_space_group_name_Hall '-C 2ac 2'
_cell_length_a 9.1828
_cell_length_b 11.1473
_cell_length_c 6.6486
_cell_angle_alpha 90.00
_cell_angle_beta 90.00
_cell_angle_gamma 90.00
loop_
_atom_site_label
_atom_site_type_symbol
_atom_site_fract_x
_atom_site_fract_y
_atom_site_fract_z
Na1 Na 0.2187 0.0000 0.0000
P1 P 0.0000 0.1030 0.2667
Pb1 Pb 0.0000 0.1581 0.6692

[17]
# NaPPb PBE-GGA relaxed
# E_form	-0.200	eV per atom
data_NaPPb
_chemical_formula_sum 'Na1 P1 Pb1'
_space_group_name_H-M_alt 'P 3 m 1'
_space_group_IT_number 156
_space_group_name_Hall 'P 3 -2"'
_cell_length_a 4.0764
_cell_length_b 4.0764
_cell_length_c 5.8680
_cell_angle_alpha 90.00
_cell_angle_beta 90.00
_cell_angle_gamma 120.00
loop_
_atom_site_label
_atom_site_type_symbol
_atom_site_fract_x
_atom_site_fract_y
_atom_site_fract_z
Na1 Na 0.0000 0.0000 0.0000
P1 P 0.3333 0.6667 0.7161
Pb1 Pb 0.6667 0.3333 0.4768

[18]
# NaP2Pb PBE-GGA relaxed
# E_form	0.297	eV per atom
data_NaP2Pb
_chemical_formula_sum 'Na4 P8 Pb4'
_space_group_name_H-M_alt 'I -4 2 d'
_space_group_IT_number 122
_space_group_name_Hall 'I -4 2bw'
_cell_length_a 6.8593
_cell_length_b 6.8593
_cell_length_c 10.2655
_cell_angle_alpha 90.00
_cell_angle_beta 90.00
_cell_angle_gamma 90.00
loop_
_atom_site_label
_atom_site_type_symbol
_atom_site_fract_x
_atom_site_fract_y
_atom_site_fract_z
Na1 Na 0.0000 0.0000 0.0000
P1 P 0.2207 0.2500 0.6250
Pb1 Pb 0.0000 0.0000 0.5000

[19]
# Na3PPb PBE-GGA relaxed
# energy relative to the lowest polymorph listed for this composition	0.565	eV per atom
# E_form	0.644	eV per atom
data_Na3PPb
_chemical_formula_sum 'Na3 P1 Pb1'
_space_group_name_H-M_alt 'P m -3 m'
_space_group_IT_number 221
_space_group_name_Hall '-P 4 2 3'
_cell_length_a 5.9487
_cell_length_b 5.9487
_cell_length_c 5.9487
_cell_angle_alpha 90.00
_cell_angle_beta 90.00
_cell_angle_gamma 90.00
loop_
_atom_site_label
_atom_site_type_symbol
_atom_site_fract_x
_atom_site_fract_y
_atom_site_fract_z
Na1 Na 0.0000 0.0000 0.5000
P1 P 0.5000 0.5000 0.5000
Pb1 Pb 0.0000 0.0000 0.0000

[20]
# Na2P2Pb PBE-GGA relaxed
# energy relative to the lowest polymorph listed for this composition	0.102	eV per atom
# E_form	-0.001	eV per atom
data_Na2P2Pb
_chemical_formula_sum 'Na4 P4 Pb2'
_space_group_name_H-M_alt 'P 4/m b m'
_space_group_IT_number 127
_space_group_name_Hall '-P 4 2ab'
_cell_length_a 8.4606
_cell_length_b 8.4606
_cell_length_c 3.0241
_cell_angle_alpha 90.00
_cell_angle_beta 90.00
_cell_angle_gamma 90.00
loop_
_atom_site_label
_atom_site_type_symbol
_atom_site_fract_x
_atom_site_fract_y
_atom_site_fract_z
Na1 Na 0.1215 0.3785 0.0000
P1 P 0.1772 0.6772 0.5000
Pb1 Pb 0.0000 0.0000 0.5000

[21]
# Na6PPb3 PBE-GGA relaxed
# E_form	-0.122	eV per atom
data_Na6PPb3
_chemical_formula_sum 'Na12 P2 Pb6'
_space_group_name_H-M_alt 'P 1 21/c 1'
_space_group_IT_number 14
_space_group_name_Hall '-P 2ybc'
_cell_length_a 9.2295
_cell_length_b 6.4120
_cell_length_c 13.3559
_cell_angle_alpha 90.00
_cell_angle_beta 131.44
_cell_angle_gamma 90.00
loop_
_atom_site_label
_atom_site_type_symbol
_atom_site_fract_x
_atom_site_fract_y
_atom_site_fract_z
Na1 Na 0.1005 0.1227 0.4321
Na2 Na 0.2491 0.5814 0.4382
Na3 Na 0.3658 0.7422 0.7264
P1 P 0.0000 0.0000 0.0000
Pb1 Pb 0.2296 0.2433 0.2332
Pb2 Pb 0.5000 0.0000 0.5000

[22]
# NaP2Pt7Pb2 PBE-GGA relaxed
# E_form	-0.329	eV per atom
data_NaP2Pt7Pb2
_chemical_formula_sum 'Na2 P4 Pt14 Pb4'
_space_group_name_H-M_alt 'C 1 2/m 1'
_space_group_IT_number 12
_space_group_name_Hall '-C 2y'
_cell_length_a 5.5888
_cell_length_b 5.5914
_cell_length_c 15.2170
_cell_angle_alpha 90.00
_cell_angle_beta 100.49
_cell_angle_gamma 90.00
loop_
_atom_site_label
_atom_site_type_symbol
_atom_site_fract_x
_atom_site_fract_y
_atom_site_fract_z
Na1 Na 0.0000 0.0000 0.0000
P1 P 0.1121 0.5000 0.2269
Pt1 Pt 0.0000 0.5000 0.0000
Pt2 Pt 0.1795 0.2499 0.8570
Pt3 Pt 0.1906 0.5000 0.3802
Pb1 Pb 0.2106 0.0000 0.4214

[23]
# Na2RePPb PBE-GGA relaxed
# E_form	0.703	eV per atom
data_Na2RePPb
_chemical_formula_sum 'Na2 Re1 P1 Pb1'
_space_group_name_H-M_alt 'P 4/m m m'
_space_group_IT_number 123
_space_group_name_Hall '-P 4 2'
_cell_length_a 5.6012
_cell_length_b 5.6012
_cell_length_c 4.4784
_cell_angle_alpha 90.00
_cell_angle_beta 90.00
_cell_angle_gamma 90.00
loop_
_atom_site_label
_atom_site_type_symbol
_atom_site_fract_x
_atom_site_fract_y
_atom_site_fract_z
Na1 Na 0.0000 0.5000 0.0000
Re1 Re 0.0000 0.0000 0.0000
P1 P 0.0000 0.0000 0.5000
Pb1 Pb 0.5000 0.5000 0.5000

[24]
# NaPPbS2 PBE-GGA relaxed
# energy relative to the lowest polymorph listed for this composition	0.573	eV per atom
# energy relative to the elements, uncorrected	0.72	eV per atom
data_NaPPbS2
_chemical_formula_sum 'Na1 P1 Pb1 S2'
_space_group_name_H-M_alt 'P 4/m m m'
_space_group_IT_number 123
_space_group_name_Hall '-P 4 2'
_cell_length_a 5.2362
_cell_length_b 5.2362
_cell_length_c 5.2510
_cell_angle_alpha 90.00
_cell_angle_beta 90.00
_cell_angle_gamma 90.00
loop_
_atom_site_label
_atom_site_type_symbol
_atom_site_fract_x
_atom_site_fract_y
_atom_site_fract_z
Na1 Na 0.0000 0.0000 0.0000
P1 P 0.0000 0.0000 0.5000
Pb1 Pb 0.5000 0.5000 0.5000
S1 S 0.0000 0.5000 0.0000